This record from Alexandria via LeMat-Bulk describes a geometry-optimized Sc3CoSn structure. The functional is GGA-PBE. Values from VASP.

Structure (Quantum ESPRESSO input):
```
&SYSTEM
  ibrav = 0, nat = 10, ntyp = 3
/
ATOMIC_SPECIES
Sc 44.96 Sc.upf
Co 58.93 Co.upf
Sn 118.71 Sn.upf
CELL_PARAMETERS angstrom
6.911 0.000 0.000
-3.455 5.985 0.000
0.000 0.000 5.084
ATOMIC_POSITIONS crystal
Sc 0.176 0.352 0.250
Sc 0.176 0.824 0.250
Sc 0.352 0.176 0.750
Sc 0.648 0.824 0.250
Sc 0.824 0.176 0.750
Sc 0.824 0.648 0.750
Co 0.000 0.000 0.000
Co 0.000 0.000 0.500
Sn 0.333 0.667 0.750
Sn 0.667 0.333 0.250
```

Results
**VASP energy**: -6.475 eV per atom
**Energy of formation from the pure elements**: -454 meV/atom
**Theoretical density**: 4.94 g cm⁻³
**DOS at the Fermi energy**: 0.604 states/eV/atom
**SG**: P6_3/mmc